No. 1
Entry from Alexandria: a relaxed structure of Ac12NiHg6 (PBE-GGA).

abc: 13.1045 13.1045 14.5890
angles: 90.00 90.00 120.00
Last column: nearest neighbours and their distance in Å.
Space group R-3 (No. 148, hexagonal axes)
Inequivalent atoms, fractional coordinates:
Ac 0.0339 0.8421 0.3877 [18 per cell]  4 Hg 3.34-3.50
Ac 0.0357 0.1924 0.8830 [18 per cell]  1 Ni 2.88
Ni 0.0000 0.0000 0.0000 [3 per cell]  6 Ac 2.88
Hg 0.0060 0.6079 0.2538 [18 per cell]  8 Ac 3.34-3.61

Calculated values
ρ (g/cm³): 9.15
E (Ry per atom): -0.237
Formation enthalpy at 0 K (meV/atom): -232
N(E_F) (states/eV/f.u.): 27.4

***

No. 2
Entry from Alexandria: a relaxed structure of Ac2Ni2Hg3 (PBE-GGA).

abc: 11.1812 4.3230 7.2547
angles: 90.00 93.55 90.00
Last column: nearest neighbours and their distance in Å.
Space group C2/m (No. 12)
Inequivalent atoms, fractional coordinates:
Ac 0.1291 0.0000 0.3328 [4 per cell]  5 Ni 3.10-3.39, 2 Hg 3.40
Ni 0.0673 0.5000 0.6340 [4 per cell]  1 Ni 2.38
Hg 0.0000 0.5000 0.0000 [2 per cell]  2 Ni 2.80
Hg 0.1702 0.0000 0.8368 [4 per cell]  2 Ni 2.82, 2 Hg 3.16

Calculated values
ρ (g/cm³): 11.13
E (Ry per atom): -0.239
Formation enthalpy at 0 K (meV/atom): -301
N(E_F) (states/eV/f.u.): 5.9